*one*
Pr3Ga8Ni3: relaxed, PBE.

Calculated values
Calculated density ... 7.39 g cm⁻³
Total magnetization ... 0.00 μB/atom

Lattice parameters (Å, degrees): 15.887 4.437 8.694 90.00 121.98 90.00
Space group C2/m (No. 12)
Inequivalent atoms, fractional coordinates:
Pr  0.000  0.000  0.000 (multiplicity 2)
Pr  0.212  0.500  0.696 (multiplicity 4)
Ga  0.012  0.500  0.684 (multiplicity 4)
Ga  0.130  0.000  0.423 (multiplicity 4)
Ga  0.146  0.500  0.266 (multiplicity 4)
Ga  0.155  0.000  0.875 (multiplicity 4)
Ni  0.000  0.000  0.500 (multiplicity 2)
Ni  0.156  0.500  0.999 (multiplicity 4)

***

*two*
Pr3Ga8Ni3: relaxed, PBE.

Calculated values
Calculated density ... 7.40 g cm⁻³
Total magnetization ... 0.00 μB/atom

Lattice parameters (Å, degrees): 4.286 9.842 12.308 90.00 90.00 90.00
Space group Immm (No. 71)
Inequivalent atoms, fractional coordinates:
Pr  0.000  0.000  0.000 (multiplicity 2)
Pr  0.000  0.000  0.319 (multiplicity 4)
Ga  0.000  0.287  0.118 (multiplicity 8)
Ga  0.000  0.362  0.337 (multiplicity 8)
Ni  0.000  0.214  0.500 (multiplicity 4)
Ni  0.000  0.500  0.000 (multiplicity 2)

***

*two* has the most favorable energy; the next structure is 15 meV/atom above.